Density functional theory data (PBE) for an optimized crystal structure of BaPaTeO2.

**Formation energy from raw total energies**: -1240 kJ/mol of formula units
**Crystal system**: tetragonal

```
data_BaPaTeO2
_chemical_formula_sum 'Ba1 Pa1 Te1 O2'
_cell_length_a 4.444
_cell_length_b 4.444
_cell_length_c 6.680
_cell_angle_alpha 90.00
_cell_angle_beta 90.00
_cell_angle_gamma 90.00
_space_group_name_H-M_alt 'P 4 m m'
_space_group_IT_number 99
_space_group_name_Hall 'P 4 -2'
loop_
_atom_site_label
_atom_site_type_symbol
_atom_site_fract_x
_atom_site_fract_y
_atom_site_fract_z
_atom_site_occupancy
Ba1 Ba 0.000 0.000 0.000 1
Pa1 Pa 0.500 0.500 0.328 1
Te1 Te 0.500 0.500 0.796 1
O1 O 0.000 0.500 0.263 1
```


Density functional theory data (PBE) for an optimized crystal structure of BaPaTe2O8.

**Formation energy from raw total energies**: -2247 kJ/mol of formula units
**Crystal system**: trigonal

```
data_BaPaTe2O8
_chemical_formula_sum 'Ba1 Pa1 Te2 O8'
_cell_length_a 6.4203
_cell_length_b 6.4203
_cell_length_c 7.4404
_cell_angle_alpha 90.00
_cell_angle_beta 90.00
_cell_angle_gamma 120.00
_space_group_name_H-M_alt 'P -3 m 1'
_space_group_IT_number 164
_space_group_name_Hall '-P 3 2"'
loop_
_atom_site_label
_atom_site_type_symbol
_atom_site_fract_x
_atom_site_fract_y
_atom_site_fract_z
_atom_site_occupancy
Ba1 Ba 0.0000 0.0000 0.0000 1
Pa1 Pa 0.0000 0.0000 0.5000 1
Te1 Te 0.3333 0.6667 0.2797 1
O1 O 0.1501 0.3002 0.3138 1
O2 O 0.3333 0.6667 0.0343 1
```


Density functional theory data (PBE) for an optimized crystal structure of Ba2ThPaO6.

**Formation energy from raw total energies**: -3098 kJ/mol of formula units
**Crystal system**: tetragonal

```
data_Ba2ThPaO6
_chemical_formula_sum 'Ba2 Th1 Pa1 O6'
_cell_length_a 4.555
_cell_length_b 4.555
_cell_length_c 9.100
_cell_angle_alpha 90.00
_cell_angle_beta 90.00
_cell_angle_gamma 90.00
_space_group_name_H-M_alt 'P 4/m m m'
_space_group_IT_number 123
_space_group_name_Hall '-P 4 2'
loop_
_atom_site_label
_atom_site_type_symbol
_atom_site_fract_x
_atom_site_fract_y
_atom_site_fract_z
_atom_site_occupancy
Ba1 Ba 0.000 0.000 0.245 1
Th1 Th 0.500 0.500 0.500 1
Pa1 Pa 0.500 0.500 0.000 1
O1 O 0.000 0.500 0.000 1
O2 O 0.000 0.500 0.500 1
O3 O 0.500 0.500 0.244 1
```


Density functional theory data (PBE) for an optimized crystal structure of BaThPaO6.

**Formation energy from raw total energies**: -2639 kJ/mol of formula units
**Crystal system**: orthorhombic

```
data_BaThPaO6
_chemical_formula_sum 'Ba4 Th4 Pa4 O24'
_cell_length_a 7.887
_cell_length_b 8.163
_cell_length_c 12.043
_cell_angle_alpha 90.00
_cell_angle_beta 90.00
_cell_angle_gamma 90.00
_space_group_name_H-M_alt 'I m m a'
_space_group_IT_number 74
_space_group_name_Hall '-I 2b 2'
loop_
_atom_site_label
_atom_site_type_symbol
_atom_site_fract_x
_atom_site_fract_y
_atom_site_fract_z
_atom_site_occupancy
Ba1 Ba 0.000 0.250 0.036 1
Th1 Th 0.250 0.250 0.750 1
Pa1 Pa 0.000 0.000 0.500 1
O1 O 0.000 0.250 0.441 1
O2 O 0.000 0.250 0.832 1
O3 O 0.208 0.062 0.609 1
```